(1)
DFT (PBE) results for a relaxed structure of KRbLa2.

```
data_KRbLa2
_cell_length_a 10.6364
_cell_length_b 10.6364
_cell_length_c 6.7988
_cell_angle_alpha 90.00
_cell_angle_beta 90.00
_cell_angle_gamma 90.00
_space_group_name_H-M_alt 'I -4 2 d'
_space_group_IT_number 122
_space_group_name_Hall 'I -4 2bw'
loop_
_atom_site_label
_atom_site_type_symbol
_atom_site_fract_x
_atom_site_fract_y
_atom_site_fract_z
K1 K 0.0000 0.0000 0.0000
Rb1 Rb 0.0000 0.0000 0.5000
La1 La 0.2494 0.2500 0.1250
```

Crystal system   tetragonal

=====

(2)
DFT (PBE) results for a relaxed structure of AlIrCl2.

```
data_AlIrCl2
_cell_length_a 4.1772
_cell_length_b 4.1772
_cell_length_c 16.3192
_cell_angle_alpha 90.00
_cell_angle_beta 90.00
_cell_angle_gamma 90.00
_space_group_name_H-M_alt 'I -4 2 d'
_space_group_IT_number 122
_space_group_name_Hall 'I -4 2bw'
loop_
_atom_site_label
_atom_site_type_symbol
_atom_site_fract_x
_atom_site_fract_y
_atom_site_fract_z
Al1 Al 0.0000 0.0000 0.0000
Ir1 Ir 0.0000 0.0000 0.5000
Cl1 Cl 0.2472 0.2500 0.6250
```

Crystal system   tetragonal

=====

Number 1: Fermi-level density of states 28.5 states/eV/cell, volume 48.1 Å³/atom, calculated total energy -35.92 eV/cell. Number 2: Fermi-level density of states 12.9 states/eV/cell, volume 17.8 Å³/atom, calculated total energy -60.33 eV/cell.